Here is crystalline ZrCuN2O at its relaxed geometry from Alexandria. Energies are from GGA-PBEsol.

Calculated values
total DFT energy (no corrections)	-6.9128	eV per atom

Lattice parameters (Å, degrees): 4.220 4.220 4.018 90.00 90.00 90.00
Element x y z (fractional)
Zr1 0.000 0.000 0.000
Cu1 0.500 0.500 0.500
N1 0.000 0.500 0.000
N2 0.500 0.000 0.000
O1 0.000 0.000 0.500

---

Here is crystalline ZnMoSe2 at its relaxed geometry from Alexandria. Energies are from GGA-PBEsol.

Calculated values
total DFT energy (no corrections)	-5.3424	eV per atom

Lattice parameters (Å, degrees): 6.971 6.971 6.971 153.29 152.36 38.82
Element x y z (fractional)
Zn1 0.000 0.000 0.000
Mo1 0.743 0.243 0.500
Se1 0.336 0.836 0.500
Se2 0.596 0.596 0.000

---

Here is crystalline K2In2Os at its relaxed geometry from Alexandria. Energies are from GGA-PBEsol.

Calculated values
total DFT energy (no corrections)	-3.0381	eV per atom

Lattice parameters (Å, degrees): 8.643 8.643 8.643 154.96 154.96 35.71
Element x y z (fractional)
K1 0.250 0.750 0.500
K2 0.750 0.250 0.500
In1 0.084 0.084 0.000
In2 0.916 0.916 0.000
Os1 0.500 0.500 0.000

---

One value per record, in order, for magnetic moment: 2.79 0.00 0.00 μB/f.u..